No. 1
# As2RuCSe meta-GGA SCAN single point on PBEsol structure
# Volume = 14.6 Å³ per atom
# Size of the total moment = 0.00 Bohr magnetons per cell
# Mass density = 7.797 g/cm³
# ΔE_f (raw) = 1.263 eV/atom
# Electronic total energy = -0.7281 Ha/atom
data_As2RuCSe
_chemical_formula_sum 'As2 Ru1 C1 Se1'
_space_group_name_H-M_alt 'P 4/m m m'
_space_group_IT_number 123
_space_group_name_Hall '-P 4 2'
_cell_length_a 4.122
_cell_length_b 4.122
_cell_length_c 4.286
_cell_angle_alpha 90.00
_cell_angle_beta 90.00
_cell_angle_gamma 90.00
loop_
_atom_site_label
_atom_site_type_symbol
_atom_site_fract_x
_atom_site_fract_y
_atom_site_fract_z
As1 As 0.000 0.500 0.000
Ru1 Ru 0.000 0.000 0.500
C1 C 0.500 0.500 0.000
Se1 Se 0.500 0.500 0.500

No. 2
# SiAsRuC2 meta-GGA SCAN single point on PBEsol structure
# Volume = 14.8 Å³ per atom
# Size of the total moment = 0.02 Bohr magnetons per cell
# Mass density = 5.112 g/cm³
# ΔE_f (raw) = 1.464 eV/atom
# Electronic total energy = -0.5726 Ha/atom
data_SiAsRuC2
_chemical_formula_sum 'Si1 As1 Ru1 C2'
_space_group_name_H-M_alt 'P 4/m m m'
_space_group_IT_number 123
_space_group_name_Hall '-P 4 2'
_cell_length_a 3.817
_cell_length_b 3.817
_cell_length_c 5.085
_cell_angle_alpha 90.00
_cell_angle_beta 90.00
_cell_angle_gamma 90.00
loop_
_atom_site_label
_atom_site_type_symbol
_atom_site_fract_x
_atom_site_fract_y
_atom_site_fract_z
Si1 Si 0.000 0.000 0.000
As1 As 0.500 0.500 0.000
Ru1 Ru 0.000 0.000 0.500
C1 C 0.000 0.500 0.500

No. 3
# Zr2AsRuC meta-GGA SCAN single point on PBEsol structure
# Volume = 21.0 Å³ per atom
# Size of the total moment = 0.00 Bohr magnetons per cell
# Mass density = 5.853 g/cm³
# Energy of formation from the pure elements = 7.025 eV/f.u.
# Electronic total energy = -0.8782 Ha/atom
data_Zr2AsRuC
_chemical_formula_sum 'Zr2 As1 Ru1 C1'
_space_group_name_H-M_alt 'P 4/m m m'
_space_group_IT_number 123
_space_group_name_Hall '-P 4 2'
_cell_length_a 4.923
_cell_length_b 4.923
_cell_length_c 4.336
_cell_angle_alpha 90.00
_cell_angle_beta 90.00
_cell_angle_gamma 90.00
loop_
_atom_site_label
_atom_site_type_symbol
_atom_site_fract_x
_atom_site_fract_y
_atom_site_fract_z
Zr1 Zr 0.000 0.500 0.000
As1 As 0.000 0.000 0.000
Ru1 Ru 0.000 0.000 0.500
C1 C 0.500 0.500 0.500

Copy entry 3 word for word.
# Zr2AsRuC meta-GGA SCAN single point on PBEsol structure
# Volume = 21.0 Å³ per atom
# Size of the total moment = 0.00 Bohr magnetons per cell
# Mass density = 5.853 g/cm³
# Energy of formation from the pure elements = 7.025 eV/f.u.
# Electronic total energy = -0.8782 Ha/atom
data_Zr2AsRuC
_chemical_formula_sum 'Zr2 As1 Ru1 C1'
_space_group_name_H-M_alt 'P 4/m m m'
_space_group_IT_number 123
_space_group_name_Hall '-P 4 2'
_cell_length_a 4.923
_cell_length_b 4.923
_cell_length_c 4.336
_cell_angle_alpha 90.00
_cell_angle_beta 90.00
_cell_angle_gamma 90.00
loop_
_atom_site_label
_atom_site_type_symbol
_atom_site_fract_x
_atom_site_fract_y
_atom_site_fract_z
Zr1 Zr 0.000 0.500 0.000
As1 As 0.000 0.000 0.000
Ru1 Ru 0.000 0.000 0.500
C1 C 0.500 0.500 0.500

- What is the mass density in the third record?
  5.853 g/cm³